No. 1
A geometry-optimized CaMgCr2 structure. Source: Alexandria via LeMat-Bulk, functional GGA-PBEsol.

## Properties
energy = -22.0 eV for the cell shown
SG = No. 44

Structure (POSCAR):
```
CaMgCr2
1.0
-1.696 2.524 4.628
1.696 -2.524 4.628
1.696 2.524 -4.628
Ca Mg Cr
1 1 2
Direct
0.000 0.000 0.000
0.709 0.209 0.500
0.273 0.773 0.500
0.433 0.433 0.000
```

No. 2
A geometry-optimized CsLi3Zn structure. Source: Alexandria via LeMat-Bulk, functional GGA-PBEsol.

## Properties
energy = -3.4 eV for the cell shown
SG = No. 221
distance to the lowest polymorph of the same formula = 0.822 eV/atom

Structure (POSCAR):
```
CsLi3Zn
1.0
5.384 0.000 0.000
0.000 5.384 0.000
0.000 0.000 5.384
Cs Li Zn
1 3 1
Direct
0.000 0.000 0.000
0.000 0.000 0.500
0.000 0.500 0.000
0.500 0.000 0.000
0.500 0.500 0.500
```

No. 3
A geometry-optimized Re2OsSe structure. Source: Alexandria via LeMat-Bulk, functional GGA-PBEsol.

## Properties
energy = -40.9 eV for the cell shown
SG = No. 12
formation energy without anion corrections = 1.9 eV/f.u.

Structure (POSCAR):
```
Re2OsSe
1.0
4.787 -1.452 0.000
4.787 1.452 0.000
-0.175 0.000 4.370
Re Os Se
2 1 1
Direct
0.218 0.218 0.227
0.782 0.782 0.773
0.500 0.500 0.000
0.000 0.000 0.500
```

No. 4
A geometry-optimized Y2CdIn structure. Source: Alexandria via LeMat-Bulk, functional GGA-PBEsol.

## Properties
energy = -19.8 eV for the cell shown
SG = No. 123

Structure (POSCAR):
```
Y2CdIn
1.0
5.218 0.000 0.000
0.000 5.218 0.000
0.000 0.000 3.700
Y Cd In
2 1 1
Direct
0.000 0.500 0.000
0.500 0.000 0.000
0.000 0.000 0.500
0.500 0.500 0.500
```

No. 5
A geometry-optimized AgSNO2 structure. Source: Alexandria via LeMat-Bulk, functional GGA-PBEsol.

## Properties
energy = -19.2 eV for the cell shown
SG = No. 123
formation energy without anion corrections = 7.6 eV/f.u.

Structure (POSCAR):
```
AgSNO2
1.0
3.890 0.000 0.000
0.000 3.890 0.000
0.000 0.000 4.016
Ag S N O
1 1 1 2
Direct
0.000 0.000 0.000
0.500 0.500 0.500
0.000 0.000 0.500
0.000 0.500 0.000
0.500 0.000 0.000
```

No. 6
A geometry-optimized TlNiPb2 structure. Source: Alexandria via LeMat-Bulk, functional GGA-PBEsol.

## Properties
energy = -16.3 eV for the cell shown
SG = No. 123
distance to the lowest polymorph of the same formula = 0.000 eV/atom

Structure (POSCAR):
```
TlNiPb2
1.0
3.295 0.000 0.000
0.000 3.295 0.000
0.000 0.000 8.593
Tl Ni Pb
1 1 2
Direct
0.000 0.000 0.000
0.000 0.000 0.500
0.500 0.500 0.311
0.500 0.500 0.689
```

No. 7
A geometry-optimized ScCoBr2 structure. Source: Alexandria via LeMat-Bulk, functional GGA-PBEsol.

## Properties
energy = -20.9 eV for the cell shown
SG = No. 160
formation energy without anion corrections = -2.8 eV/f.u.
distance to the lowest polymorph of the same formula = 0.000 eV/atom

Structure (POSCAR):
```
ScCoBr2
1.0
1.910 1.103 6.782
-1.910 1.103 6.782
0.000 -2.205 6.782
Sc Co Br
1 1 2
Direct
0.000 0.000 0.000
0.265 0.265 0.265
0.574 0.574 0.574
0.752 0.752 0.752
```

No. 8
A geometry-optimized Sr2HgMo structure. Source: Alexandria via LeMat-Bulk, functional GGA-PBEsol.

## Properties
energy = -13.1 eV for the cell shown
SG = No. 166

Structure (POSCAR):
```
Sr2HgMo
1.0
1.755 1.013 10.220
-1.755 1.013 10.220
0.000 -2.027 10.220
Sr Hg Mo
2 1 1
Direct
0.245 0.245 0.245
0.755 0.755 0.755
0.000 0.000 0.000
0.500 0.500 0.500
```

No. 9
A geometry-optimized SrCuIr2 structure. Source: Alexandria via LeMat-Bulk, functional GGA-PBEsol.

## Properties
energy = -24.9 eV for the cell shown
SG = No. 6
distance to the lowest polymorph of the same formula = 0.000 eV/atom

Structure (POSCAR):
```
SrCuIr2
1.0
2.853 0.000 0.000
0.000 4.282 0.000
-1.442 0.000 5.732
Sr Cu Ir
1 1 2
Direct
0.000 0.000 0.000
0.628 0.500 0.255
0.315 0.500 0.623
0.755 0.000 0.504
```

No. 10
A geometry-optimized Cs2TaBeW structure. Source: Alexandria via LeMat-Bulk, functional GGA-PBEsol.

## Properties
energy = -20.9 eV for the cell shown
SG = No. 123

Structure (POSCAR):
```
Cs2TaBeW
1.0
6.476 0.000 0.000
0.000 6.476 0.000
0.000 0.000 4.755
Cs Ta Be W
2 1 1 1
Direct
0.000 0.500 0.000
0.500 0.000 0.000
0.000 0.000 0.500
0.500 0.500 0.500
0.000 0.000 0.000
```

No. 11
A geometry-optimized Sc4ReMo structure. Source: Alexandria via LeMat-Bulk, functional GGA-PBEsol.

## Properties
energy = -47.1 eV for the cell shown
SG = No. 216

Structure (POSCAR):
```
Sc4ReMo
1.0
0.000 3.790 3.790
3.790 0.000 3.790
3.790 3.790 0.000
Sc Re Mo
4 1 1
Direct
0.125 0.125 0.125
0.125 0.125 0.626
0.125 0.626 0.125
0.626 0.125 0.125
0.750 0.750 0.750
0.500 0.500 0.500
```

No. 12
A geometry-optimized GaCo3I structure. Source: Alexandria via LeMat-Bulk, functional GGA-PBEsol.

## Properties
energy = -23.0 eV for the cell shown
SG = No. 221
formation energy without anion corrections = 5.4 eV/f.u.

Structure (POSCAR):
```
GaCo3I
1.0
4.358 0.000 0.000
0.000 4.358 0.000
0.000 0.000 4.358
Ga Co I
1 3 1
Direct
0.000 0.000 0.000
0.000 0.000 0.500
0.000 0.500 0.000
0.500 0.000 0.000
0.500 0.500 0.500
```

No. 13
A geometry-optimized Ba2HfRe structure. Source: Alexandria via LeMat-Bulk, functional GGA-PBEsol.

## Properties
energy = -22.2 eV for the cell shown
SG = No. 225

Structure (POSCAR):
```
Ba2HfRe
1.0
0.000 3.752 3.752
3.752 0.000 3.752
3.752 3.752 0.000
Ba Hf Re
2 1 1
Direct
0.250 0.250 0.250
0.750 0.750 0.750
0.000 0.000 0.000
0.500 0.500 0.500
```

No. 14
A geometry-optimized ReIr3 structure. Source: Alexandria via LeMat-Bulk, functional GGA-PBEsol.

## Properties
energy = -43.2 eV for the cell shown
SG = No. 65
distance to the lowest polymorph of the same formula = 0.043 eV/atom

Structure (POSCAR):
```
ReIr3
1.0
2.708 -3.848 0.000
2.708 3.848 0.000
0.000 0.000 2.709
Re Ir
1 3
Direct
0.000 0.000 0.000
0.000 0.500 0.500
0.500 0.000 0.500
0.500 0.500 0.000
```

No. 15
A geometry-optimized Fe2CoRu structure. Source: Alexandria via LeMat-Bulk, functional GGA-PBEsol.

## Properties
energy = -35.1 eV for the cell shown
SG = No. 71

Structure (POSCAR):
```
Fe2CoRu
1.0
-1.400 2.063 4.041
1.400 -2.063 4.041
1.400 2.063 -4.041
Fe Co Ru
2 1 1
Direct
0.244 0.244 0.000
0.756 0.756 0.000
0.000 0.500 0.500
0.500 0.000 0.500
```

No. 16
A geometry-optimized Zn2GePdCl structure. Source: Alexandria via LeMat-Bulk, functional GGA-PBEsol.

## Properties
energy = -12.1 eV for the cell shown
SG = No. 123
formation energy without anion corrections = 3.9 eV/f.u.

Structure (POSCAR):
```
Zn2GePdCl
1.0
4.557 0.000 0.000
0.000 4.557 0.000
0.000 0.000 4.856
Zn Ge Pd Cl
2 1 1 1
Direct
0.000 0.500 0.000
0.500 0.000 0.000
0.000 0.000 0.500
0.500 0.500 0.500
0.000 0.000 0.000
```

No. 17
A geometry-optimized MgSi structure. Source: Alexandria via LeMat-Bulk, functional GGA-PBEsol.

## Properties
energy = -15.1 eV for the cell shown
SG = No. 11
formation energy without anion corrections = -0.1 eV/f.u.

Structure (POSCAR):
```
MgSi
1.0
4.061 0.000 0.000
0.000 3.639 0.000
-2.006 0.000 5.002
Mg Si
2 2
Direct
0.147 0.250 0.295
0.853 0.750 0.705
0.422 0.250 0.845
0.578 0.750 0.155
```

No. 18
A geometry-optimized ZrIn2 structure. Source: Alexandria via LeMat-Bulk, functional GGA-PBEsol.

## Properties
energy = -31.7 eV for the cell shown
SG = No. 63

Structure (POSCAR):
```
ZrIn2
1.0
2.171 -7.331 0.000
2.171 7.331 0.000
0.000 0.000 4.128
Zr In
2 4
Direct
0.085 0.915 0.750
0.915 0.085 0.250
0.251 0.749 0.250
0.427 0.573 0.750
0.573 0.427 0.250
0.749 0.251 0.750
```

No. 19
A geometry-optimized MgFe2Cl structure. Source: Alexandria via LeMat-Bulk, functional GGA-PBEsol.

## Properties
energy = -20.4 eV for the cell shown
SG = No. 166
formation energy without anion corrections = 1.3 eV/f.u.

Structure (POSCAR):
```
MgFe2Cl
1.0
1.445 0.834 8.081
-1.445 0.834 8.081
0.000 -1.668 8.081
Mg Fe Cl
1 2 1
Direct
0.000 0.000 0.000
0.242 0.242 0.242
0.758 0.758 0.758
0.500 0.500 0.500
```

No. 20
A geometry-optimized Zr3C structure. Source: Alexandria via LeMat-Bulk, functional GGA-PBEsol.

## Properties
energy = -36.8 eV for the cell shown
SG = No. 25
distance to the lowest polymorph of the same formula = 0.458 eV/atom

Structure (POSCAR):
```
Zr3C
1.0
3.032 0.000 0.000
0.000 3.109 0.000
0.000 0.000 7.898
Zr C
3 1
Direct
0.000 0.000 0.000
0.000 0.500 0.333
0.500 0.500 0.709
0.500 0.000 0.230
```